No. 1
BeGa2O4 after structural relaxation. Source: Alexandria, functional GGA-PBE.

Unit cell a=5.1648 b=5.8688 c=10.6521 alpha=90.00 beta=90.57 gamma=90.00
Closest atoms and distances in Å follow each position.
Space group P2_1 (No. 4)
Symmetry-distinct sites (fractional):
Be1 0.1736 0.0000 0.1613 [2 per cell]  4 O 1.65-1.70
Be2 0.1797 0.0279 0.6678 [2 per cell]  4 O 1.61-1.71
Ga1 0.1628 0.7990 0.4193 [2 per cell]  4 O 1.85-1.90
Ga2 0.3128 0.4944 0.1828 [2 per cell]  4 O 1.81-1.92
Ga3 0.3223 0.2699 0.9177 [2 per cell]  4 O 1.85-1.93
Ga4 0.3301 0.5364 0.6742 [2 per cell]  4 O 1.87-1.90
O1 0.1411 0.5229 0.3293 [2 per cell]  1 Be 1.66, 1 Ga 1.81
O2 0.1476 0.4915 0.8263 [2 per cell]  1 Be 1.67, 1 Ga 1.85
O3 0.2046 0.2805 0.5888 [2 per cell]  1 Be 1.71, 2 Ga 1.87-1.90
O4 0.2456 0.2383 0.0857 [2 per cell]  1 Be 1.66, 2 Ga 1.85-1.86
O5 0.2723 0.8055 0.5846 [2 per cell]  1 Be 1.65, 1 Ga 1.85
O6 0.3058 0.7770 0.0924 [2 per cell]  1 Be 1.65
O7 0.3095 0.0072 0.3072 [2 per cell]  1 Be 1.70, 2 Ga 1.87-1.88
O8 0.3216 0.0200 0.8032 [2 per cell]  1 Be 1.61

Summary:
Energy relative to the elements, uncorrected ... -2.00 eV/atom
D(E_F) ... 0.00 states/eV per cell
Spin magnetization ... 0.00 μB/cell
Relative energy among the computed polymorphs ... 0.108 eV/atom
Final energy ... -43.6 eV per formula unit

---

No. 2
FeH2Pd after structural relaxation. Source: Alexandria, functional GGA-PBE.

Unit cell a=2.7467 b=2.7467 c=14.8814 alpha=90.00 beta=90.00 gamma=120.00
Closest atoms and distances in Å follow each position.
Space group R3m (No. 160, hexagonal axes)
Symmetry-distinct sites (fractional):
Fe1 0.0000 0.0000 0.0000 [3 per cell]  6 H 1.82-1.83
H1 0.0000 0.0000 0.3944 [3 per cell]  3 Fe 1.83
H2 0.0000 0.0000 0.6063 [3 per cell]  3 Fe 1.82
Pd1 0.0000 0.0000 0.1762 [3 per cell]  6 H 2.14-2.33

Summary:
D(E_F) ... 6.19 states/eV per cell
Spin magnetization ... 7.57 μB/cell
Relative energy among the computed polymorphs ... 0.016 eV/atom
Final energy ... -20.2 eV per formula unit